VASP calculation (GGA-PBE) on an optimized crystal structure of TbGdPb.

Structure (CIF):
```
data_TbGdPb
_chemical_formula_sum 'Tb1 Gd1 Pb1'
_cell_length_a 3.741
_cell_length_b 5.322
_cell_length_c 5.322
_cell_angle_alpha 120.00
_cell_angle_beta 90.00
_cell_angle_gamma 90.00
_symmetry_space_group_name_H-M 'P 1'
_symmetry_Int_Tables_number 1
loop_
_symmetry_equiv_pos_as_xyz
'x,y,z'
loop_
_atom_site_label
_atom_site_type_symbol
_atom_site_fract_x
_atom_site_fract_y
_atom_site_fract_z
Pb1 Pb 0.681 0.667 0.333
Gd1 Gd 0.388 0.333 0.667
Tb1 Tb 0.931 0.000 0.000
```

Summary:
The offset from the most stable computed form comes out at 2.46 kcal/mol of atoms. As for the density of states at the Fermi level: 4.65 states/eV/f.u. As for the volume: 91.8 Å³ per cell. As for the space-group type: P3m1, No. 156. The calculation puts the final energy at -7.70 eV per atom. Its spin magnetization is 7.72 μB/f.u.